## Ba7NaSr3 (PBE)

Data for Ba7NaSr3 after structural relaxation.

POSCAR file:
```
Ba7NaSr3
1.0
2.160 -18.185 0.000
2.160 18.185 0.000
0.000 0.000 17.158
Ba Na Sr
14 2 6
direct
0.059 0.941 0.623
0.059 0.941 0.877
0.069 0.931 0.120
0.069 0.931 0.380
0.166 0.834 0.750
0.240 0.760 0.119
0.240 0.760 0.381
0.760 0.240 0.619
0.760 0.240 0.881
0.834 0.166 0.250
0.931 0.069 0.620
0.931 0.069 0.880
0.941 0.059 0.123
0.941 0.059 0.377
0.494 0.506 0.750
0.506 0.494 0.250
0.345 0.655 0.750
0.347 0.653 0.014
0.347 0.653 0.486
0.653 0.347 0.514
0.653 0.347 0.986
0.655 0.345 0.250
```

Computed properties:
size of the total moment = 0.000 μB/atom
density of states at the Fermi level = 1.44 states/eV per atom
energy relative to the lowest polymorph listed for this composition = 0.0 meV/atom
formation enthalpy at 0 K = 77 meV/atom


## BaNa2Sr2 (PBE)

Data for BaNa2Sr2 after structural relaxation.

POSCAR file:
```
BaNa2Sr2
1.0
4.567 0.000 0.000
0.000 6.625 0.000
-2.274 0.000 16.596
Ba Na Sr
2 4 4
direct
0.148 0.250 0.294
0.852 0.750 0.706
0.354 0.250 0.712
0.453 0.750 0.906
0.547 0.250 0.094
0.646 0.750 0.288
0.048 0.750 0.096
0.239 0.750 0.477
0.761 0.250 0.523
0.952 0.250 0.904
```

Computed properties:
size of the total moment = 0.000 μB/atom
density of states at the Fermi level = 0.91 states/eV per atom
energy relative to the lowest polymorph listed for this composition = 0.0 meV/atom
formation enthalpy at 0 K = 20 meV/atom


Number 1: E_tot -1.73 eV/atom. Number 2: E_tot -1.56 eV/atom.